No. 1
Crystalline Li2CaCd at its relaxed geometry. Source: Alexandria via LeMat-Bulk, functional PBEsol.

Values from the calculation:
The value obtained for the calculated formation energy is -0.11 eV per atom. The energy above the most stable polymorph in this dataset is 0.0442 eV/atom. The crystal system is tetragonal.

Geometry as POSCAR:
```
Li2CaCd
1.0
3.584 0.000 0.000
0.000 3.584 0.000
0.000 0.000 7.163
Li Ca Cd
2 1 1
direct
0.000 0.000 0.194 Li
0.000 0.000 0.806 Li
0.500 0.500 0.500 Ca
0.500 0.500 0.000 Cd
```


No. 2
Crystalline BaTcTe3 at its relaxed geometry. Source: Alexandria via LeMat-Bulk, functional PBEsol.

Values from the calculation:
The crystal system is cubic. Its formation energy (no corrections) is 1.428 eV per atom.

Geometry as POSCAR:
```
BaTcTe3
1.0
6.204 0.000 0.000
0.000 6.204 0.000
0.000 0.000 6.204
Ba Tc Te
1 1 3
direct
0.000 0.000 0.000 Ba
0.500 0.500 0.500 Tc
0.000 0.000 0.500 Te
0.000 0.500 0.000 Te
0.500 0.000 0.000 Te
```


No. 3
Crystalline ZrScHg at its relaxed geometry. Source: Alexandria via LeMat-Bulk, functional PBEsol.

Values from the calculation:
The value obtained for the calculated formation energy is -0.32 eV per atom. The energy above the most stable polymorph in this dataset is 0.0000 eV/atom. The crystal system is tetragonal.

Geometry as POSCAR:
```
ZrScHg
1.0
-1.622 1.622 6.095
1.622 -1.622 6.095
1.622 1.622 -6.095
Zr Sc Hg
1 1 1
direct
0.000 0.000 0.000 Zr
0.672 0.672 0.000 Sc
0.332 0.332 0.000 Hg
```